Computed, not measured: crystalline PaTlCu4 at its relaxed geometry at the PBE level of DFT.

* magnetization: 0.14 μB/atom
* E_form: 0.11 eV per atom

```
data_PaTlCu4
_chemical_formula_sum 'Pa4 Tl4 Cu16'
_cell_length_a 7.373
_cell_length_b 7.373
_cell_length_c 7.373
_cell_angle_alpha 90.00
_cell_angle_beta 90.00
_cell_angle_gamma 90.00
_symmetry_space_group_name_H-M 'F -4 3 m'
_symmetry_Int_Tables_number 216
_symmetry_space_group_name_Hall 'F -4 2 3'
loop_
_atom_site_label
_atom_site_type_symbol
_atom_site_fract_x
_atom_site_fract_y
_atom_site_fract_z
Pa1 Pa 0.000 0.000 0.000
Tl1 Tl 0.250 0.250 0.750
Cu1 Cu 0.125 0.125 0.375
```


Computed, not measured: crystalline PaTlCu at its relaxed geometry at the PBE level of DFT.

* magnetization: 0.14 μB/atom
* E above lowest polymorph: 2.4 meV/atom
* E_form: 0.19 eV per atom

```
data_PaTlCu
_chemical_formula_sum 'Pa4 Tl4 Cu4'
_cell_length_a 6.564
_cell_length_b 6.564
_cell_length_c 6.564
_cell_angle_alpha 90.00
_cell_angle_beta 90.00
_cell_angle_gamma 90.00
_symmetry_space_group_name_H-M 'F -4 3 m'
_symmetry_Int_Tables_number 216
_symmetry_space_group_name_Hall 'F -4 2 3'
loop_
_atom_site_label
_atom_site_type_symbol
_atom_site_fract_x
_atom_site_fract_y
_atom_site_fract_z
Pa1 Pa 0.000 0.000 0.000
Tl1 Tl 0.000 0.000 0.500
Cu1 Cu 0.250 0.250 0.250
```